Entry P
Material: AcCoPO
Method: DFT, GGA+U
State: optimized geometry

Unit cell a=4.4284 b=6.5037 c=6.1700 alpha=90.00 beta=90.00 gamma=90.00
Closest atoms and distances in Å follow each position.
Space group Pmc2_1 (No. 26)
Asymmetric unit:
Ac 0.0000 0.2452 0.0000 [2 per cell]  2 O 2.41
Co 0.5000 0.3543 0.5886 [2 per cell]  2 O 2.02-2.11
P 0.0000 0.2296 0.5048 [2 per cell]  2 Co 2.41
O 0.5000 0.3746 0.9292 [2 per cell]  2 Co 2.02-2.11


Entry Q
Material: AcCoPO
Method: DFT, GGA+U
State: optimized geometry

Unit cell a=4.8388 b=4.1547 c=7.2445 alpha=90.00 beta=90.00 gamma=90.00
Closest atoms and distances in Å follow each position.
Space group Pmc2_1 (No. 26)
Asymmetric unit:
Ac 0.0000 0.2488 0.0000 [2 per cell]  3 O 2.40-2.41
Co 0.5000 0.2554 0.3337 [2 per cell]  3 P 2.39-2.42, 2 O 2.42
P 0.5000 0.2479 0.6680 [2 per cell]  3 Co 2.39-2.42
O 0.0000 0.2520 0.3331 [2 per cell]  3 Ac 2.40-2.41, 2 Co 2.42


The structure with the least stability is entry P.


Entry P
Material: AcCoPO
Method: DFT, GGA+U
State: optimized geometry

Unit cell a=4.0540 b=4.0540 c=8.4963 alpha=90.00 beta=90.00 gamma=90.00
Closest atoms and distances in Å follow each position.
Space group P4/nmm (No. 129, origin choice 2)
Asymmetric unit:
Ac 0.2500 0.2500 0.1590 [2 per cell]  4 O 2.44
Co 0.2500 0.7500 0.5000 [2 per cell]  4 P 2.24
P 0.2500 0.2500 0.6116 [2 per cell]  4 Co 2.24
O 0.2500 0.7500 0.0000 [2 per cell]  4 Ac 2.44


Entry Q
Material: AcCoPO
Method: DFT, GGA+U
State: optimized geometry

Unit cell a=4.6073 b=4.6073 c=8.6525 alpha=90.00 beta=90.00 gamma=90.00
Closest atoms and distances in Å follow each position.
Space group P4/nmm (No. 129, origin choice 2)
Asymmetric unit:
Ac 0.2500 0.7500 0.0000 [2 per cell]  4 P 2.89
Co 0.2500 0.2500 0.4777 [2 per cell]  4 O 2.31, 1 P 2.39
P 0.2500 0.2500 0.2009 [2 per cell]  1 Co 2.39
O 0.2500 0.7500 0.5000 [2 per cell]  4 Co 2.31


The structure with the least stability is entry Q.